1.
Compound: MnGa2Tc
Source: Alexandria
Functional: PBE
Structure: optimized geometry

abc: 4.3008 4.3008 4.3008
angles: 60.00 60.00 60.00
Last column: nearest neighbours and their distance in Å.
Fractional coordinates of all 4 atoms:
Tc (0.5000, 0.5000, 0.5000)  8 Ga 2.63
Ga (0.2500, 0.2500, 0.2500)  4 Tc 2.63, 4 Mn 2.63
Ga (0.7500, 0.7500, 0.7500)  4 Mn 2.63, 4 Tc 2.63
Mn (0.0000, 0.0000, 0.0000)  8 Ga 2.63

Summary:
Its formation energy is -0.09 eV/atom. Its space-group type is Fm-3m.

***

2.
Compound: CaTiFe2S
Source: Alexandria
Functional: PBE
Structure: optimized geometry

abc: 4.3491 5.0378 4.3491
angles: 90.00 90.00 90.00
Last column: nearest neighbours and their distance in Å.
Fractional coordinates of all 5 atoms:
S (0.5000, 0.5000, 0.5000)  4 Ti 3.08, 8 Fe 3.33
Fe (0.0000, 0.0000, 0.5000)  2 Ca 2.17
Fe (0.5000, 0.0000, 0.0000)  2 Ca 2.17
Ca (0.0000, 0.0000, 0.0000)  4 Fe 2.17
Ti (0.0000, 0.5000, 0.0000)  2 Ca 2.52

Summary:
The value obtained for the formation energy from raw total energies is 185.55 kJ per mole of atoms. Its space-group type is P4/mmm.

***

3.
Compound: YCrNi2
Source: Alexandria
Functional: PBE
Structure: optimized geometry

abc: 3.1827 3.1827 6.2076
angles: 90.00 90.00 89.99
Last column: nearest neighbours and their distance in Å.
Fractional coordinates of all 4 atoms:
Ni (0.0000, 0.0000, 0.9515)  1 Ni 2.50, 4 Cr 2.57-2.58
Cr (0.5000, 0.5000, 0.7500)  8 Ni 2.57-2.58
Ni (0.0000, 0.0000, 0.5485)  1 Ni 2.50, 4 Cr 2.57-2.58
Y (0.5000, 0.5000, 0.2500)  8 Ni 2.91-2.92, 2 Cr 3.10, 4 Y 3.18

Summary:
Its formation energy is 0.02 eV/atom. Its space-group type is P4/mmm.

***

4.
Compound: Tb4Er3Sc3
Source: Alexandria
Functional: PBE
Structure: optimized geometry

abc: 3.6288 9.0027 9.0027
angles: 90.43 90.00 90.00
Last column: nearest neighbours and their distance in Å.
Fractional coordinates of all 10 atoms:
Tb (0.0000, 0.8634, 0.8728)  4 Sc 3.12-3.24, 3 Er 3.32-3.47, 1 Tb 3.35
Sc (0.5000, 0.8310, 0.1690)  6 Tb 3.13-3.24
Sc (0.5000, 0.3331, 0.3306)  6 Tb 3.12-3.26
Er (0.5000, 0.1689, 0.8311)  6 Tb 3.20-3.32
Er (0.0000, 0.5009, 0.0009)  4 Tb 3.47-3.59, 4 Er 3.63-3.81, 6 Sc 3.79-3.83
Tb (0.0000, 0.3751, 0.6249)  4 Er 3.20-3.56, 4 Sc 3.23, 1 Tb 3.28
Tb (0.0000, 0.6318, 0.3682)  6 Sc 3.13-3.26, 1 Tb 3.28
Er (0.0000, 0.9991, 0.4991)  4 Tb 3.47-3.59, 4 Er 3.63-3.81, 6 Sc 3.79-3.83
Tb (0.0000, 0.1272, 0.1366)  4 Sc 3.12-3.24, 3 Er 3.32-3.47, 1 Tb 3.35
Sc (0.5000, 0.6694, 0.6669)  6 Tb 3.12-3.26

Summary:
Its formation energy is 0.09 eV/atom. Its space-group type is Amm2.